# MgNiIr2

An optimized crystal structure of MgNiIr2 (PBE, Alexandria via LeMat-Bulk).

a b c (Å): 2.726 2.726 8.880
angles (deg): 90.00 90.00 118.73
Positions (direct):
1 Mg 0.000 0.000 0.508
2 Ni 0.500 0.500 0.751
3 Ir 0.500 0.500 0.251
4 Ir 0.000 0.000 0.990

Properties
SG: Cmm2 (35)
Energy of formation: 3.90 kcal/mol of atoms